[1]
Na5Tl6Pd PBE optimized geometry; calculated formation energy = -114.5 meV/atom; space-group type = Cmmm (65); mass density = 7.53 g/cm3
1.0
2.555 -7.834 0.000
2.555 7.834 0.000
0.000 0.000 7.980
Na Tl Pd
5 6 1
Direct
0.000 0.000 0.000
0.326 0.674 0.000
0.326 0.674 0.500
0.674 0.326 0.000
0.674 0.326 0.500
0.147 0.853 0.272
0.147 0.853 0.728
0.500 0.500 0.279
0.500 0.500 0.721
0.853 0.147 0.272
0.853 0.147 0.728
0.000 0.000 0.500

[2]
PRu3 PBE optimized geometry; calculated formation energy = -130.0 meV/atom; space-group type = P4/mmm (123); mass density = 10.45 g/cm3; relative energy among the computed polymorphs = 0.0401 eV per atom
1.0
2.826 0.000 0.000
0.000 2.826 0.000
0.000 0.000 6.649
P Ru
1 3
Direct
0.000 0.000 0.000
0.000 0.000 0.500
0.500 0.500 0.213
0.500 0.500 0.787

[3]
Tl2GeCl PBE optimized geometry; space-group type = Fm-3m (225); mass density = 8.18 g/cm3; relative energy among the computed polymorphs = 0.0210 eV per atom; uncorrected formation energy = -59.6 meV/atom
1.0
0.000 3.744 3.744
3.744 0.000 3.744
3.744 3.744 0.000
Tl Ge Cl
2 1 1
Direct
0.250 0.250 0.250
0.750 0.750 0.750
0.000 0.000 0.000
0.500 0.500 0.500

[4]
Si2AsSe6 PBE optimized geometry; space-group type = C2/c (15); mass density = 4.40 g/cm3; uncorrected formation energy = -174.8 meV/atom
1.0
6.224 -5.834 0.000
6.224 5.834 0.000
-1.363 0.000 6.285
Si As Se
4 2 12
Direct
0.117 0.278 0.328
0.278 0.117 0.828
0.722 0.883 0.172
0.883 0.722 0.672
0.371 0.629 0.750
0.629 0.371 0.250
0.046 0.214 0.637
0.107 0.632 0.881
0.214 0.046 0.137
0.296 0.472 0.352
0.368 0.893 0.619
0.472 0.296 0.852
0.528 0.704 0.148
0.632 0.107 0.381
0.704 0.528 0.648
0.786 0.954 0.863
0.893 0.368 0.119
0.954 0.786 0.363

[5]
CaSm5Ho3 PBE optimized geometry; calculated formation energy = 80.8 meV/atom; space-group type = Cmcm (63); mass density = 7.13 g/cm3
1.0
8.569 -4.950 0.000
8.569 4.950 0.000
0.000 0.000 7.063
Ca Sm Ho
2 10 6
Direct
0.185 0.815 0.750
0.815 0.185 0.250
0.138 0.497 0.750
0.156 0.844 0.250
0.195 0.495 0.250
0.495 0.195 0.750
0.497 0.138 0.250
0.503 0.862 0.750
0.505 0.805 0.250
0.805 0.505 0.750
0.844 0.156 0.750
0.862 0.503 0.250
0.168 0.168 0.000
0.168 0.168 0.500
0.500 0.500 0.000
0.500 0.500 0.500
0.832 0.832 0.000
0.832 0.832 0.500

[6]
LaEuEr4 PBE optimized geometry; calculated formation energy = 253.6 meV/atom; space-group type = F-43m (216); mass density = 7.45 g/cm3
1.0
0.000 4.748 4.748
4.748 0.000 4.748
4.748 4.748 0.000
La Eu Er
1 1 4
Direct
0.000 0.000 0.000
0.250 0.250 0.250
0.123 0.626 0.626
0.626 0.123 0.626
0.626 0.626 0.123
0.626 0.626 0.626